14
Lattice="-2.298 4.982 6.567 2.298 -4.982 6.567 2.298 4.982 -6.567" Properties=species:S:1:pos:R:3 comment="Li2Pm3Ag9 PBE optimized geometry" formation_energy_ev_per_atom=-0.194 dos_ef_per_ev_atom=0.588 spacegroup=Immm pbc="T T T"
Li 0.000 1.881 0.000
Li 0.000 8.083 0.000
Pm 0.000 0.000 2.749
Pm 0.000 0.000 6.567
Pm 0.000 0.000 10.384
Ag 2.298 0.000 0.000
Ag 2.298 2.144 -1.694
Ag 2.298 -1.374 4.494
Ag 2.298 2.144 1.694
Ag 2.298 1.374 4.494
Ag 0.000 3.609 2.073
Ag 0.000 2.838 4.872
Ag 0.000 6.356 2.073
Ag 0.000 2.838 8.261

=====

4
Lattice="3.458 0.000 0.000 0.000 3.458 0.000 0.000 0.000 7.069" Properties=species:S:1:pos:R:3 comment="LiPmAg2 PBE optimized geometry" formation_energy_ev_per_atom=-0.203 de_polymorph_ev_per_atom=0.018 dos_ef_per_ev_atom=0.830 spacegroup=P4/mmm pbc="T T T"
Li 0.000 0.000 0.000
Pm 0.000 0.000 3.535
Ag 1.729 1.729 1.438
Ag 1.729 1.729 5.631

=====

14
Lattice="-2.356 4.665 6.764 2.356 -4.665 6.764 2.356 4.665 -6.764" Properties=species:S:1:pos:R:3 comment="Li3Pm3Ag8 PBE optimized geometry" formation_energy_ev_per_atom=-0.204 dos_ef_per_ev_atom=0.575 spacegroup=Immm pbc="T T T"
Li 0.000 0.000 0.000
Li 2.356 1.763 0.000
Li 0.000 2.902 6.764
Pm 2.356 0.000 2.936
Pm 0.000 4.665 0.000
Pm 0.000 4.665 3.828
Ag 2.356 -2.788 5.081
Ag 2.356 3.283 -2.177
Ag 0.000 1.877 1.684
Ag 0.000 1.382 4.587
Ag 2.356 3.283 2.177
Ag 2.356 2.788 5.081
Ag 0.000 1.382 8.942
Ag 0.000 7.453 1.684

=====

4
Lattice="0.000 3.459 3.459 3.459 0.000 3.459 3.459 3.459 0.000" Properties=species:S:1:pos:R:3 comment="LiPmAgPt PBE optimized geometry" formation_energy_ev_per_atom=-0.518 dos_ef_per_ev_atom=0.885 spacegroup=F-43m pbc="T T T"
Li 0.000 0.000 0.000
Pm 3.459 3.459 3.459
Ag 5.188 5.188 5.188
Pt 1.729 1.729 1.729

=====

4
Lattice="0.000 3.416 3.416 3.416 0.000 3.416 3.416 3.416 0.000" Properties=species:S:1:pos:R:3 comment="LiPmAgRh PBE optimized geometry" formation_energy_ev_per_atom=-0.270 dos_ef_per_ev_atom=0.055 spacegroup=F-43m pbc="T T T"
Li 0.000 0.000 0.000
Pm 3.416 3.416 3.416
Ag 1.708 1.708 1.708
Rh 5.124 5.124 5.124

=====

4
Lattice="0.000 3.625 3.625 3.625 0.000 3.625 3.625 3.625 0.000" Properties=species:S:1:pos:R:3 comment="LiPmAgSb PBE optimized geometry" dos_ef_per_ev_atom=0.442 spacegroup=F-43m e_form_raw_ev_per_atom=-0.543 pbc="T T T"
Li 0.000 0.000 0.000
Pm 3.625 3.625 3.625
Ag 5.437 5.437 5.437
Sb 1.812 1.812 1.812

=====

4
Lattice="0.000 3.372 3.372 3.372 0.000 3.372 3.372 3.372 0.000" Properties=species:S:1:pos:R:3 comment="LiPmSiAg PBE optimized geometry" dos_ef_per_ev_atom=0.581 spacegroup=F-43m e_form_raw_ev_per_atom=-0.276 pbc="T T T"
Li 0.000 0.000 0.000
Pm 1.686 1.686 1.686
Si 3.372 3.372 3.372
Ag 5.059 5.059 5.059

=====

5
Lattice="-2.197 2.197 6.116 2.197 -2.197 6.116 2.197 2.197 -6.116" Properties=species:S:1:pos:R:3 comment="LiPmAgSn2 PBE optimized geometry" formation_energy_ev_per_atom=-0.474 dos_ef_per_ev_atom=0.338 spacegroup=I-4m2 pbc="T T T"
Li 0.000 0.000 0.000
Pm 2.197 0.000 3.058
Ag 0.000 0.000 6.116
Sn 0.000 2.197 1.661
Sn 0.000 2.197 4.455

=====

Values of spin magnetization, in order: 0.00, 0.00, 0.00, 0.00, 0.00, 0.00, 0.00, 0.00, all in μB/atom.